First-principles (GGA-PBE) data for a relaxed structure of TaNi8Rh2, as listed in Alexandria via LeMat-Bulk.

Output
Total magnetization = 4.48 μB/f.u.
Crystal system = monoclinic
Formation energy = 0.00 eV/atom
V = 137 Å³ per cell
N(E_F) = 16.52 states/eV/cell

```
11
Lattice="6.7964 -2.3490 0.0000 6.7964 2.3490 0.0000 -0.5570 0.0000 4.3010" Properties=species:S:1:pos:R:3 pbc="T T T"
Ta 0.0000 0.0000 0.0000
Ni 5.2786 1.1877 2.0320
Ni 3.2621 0.0000 2.6126
Ni 7.7573 1.1877 2.2690
Ni 5.0363 0.0000 4.2326
Ni 7.9996 0.0000 0.0685
Ni 5.2786 -1.1877 2.0320
Ni 9.7738 0.0000 1.6884
Ni 7.7573 -1.1877 2.2690
Rh 2.5289 0.0000 0.3391
Rh 10.5069 0.0000 3.9619
```